The following is a GGA-PBE calculation of a relaxed structure of UPtSe4, from Alexandria.

excess energy over the best structure of this formula in the dataset	0.162	eV per atom
DOS(E_F)	15.6	states/eV/cell
total DFT energy (no corrections)	-69.38	eV per cell
magnetization	1.6	μB/f.u.
formation energy (no corrections)	-0.57	eV per atom

The structure in extended XYZ format:
```
12
Lattice="6.741 0.000 0.000 0.000 6.534 0.000 -0.931 0.000 6.523" Properties=species:S:1:pos:R:3 pbc="T T T"
U 0.000 0.000 0.000
U -0.465 3.267 3.261
Pt 2.905 0.000 3.261
Pt 3.370 3.267 0.000
Se 0.914 1.123 2.383
Se 0.449 2.144 5.645
Se 1.851 4.688 1.687
Se 1.386 5.112 4.948
Se 4.424 1.421 1.575
Se 3.959 1.845 4.836
Se 5.361 4.390 0.878
Se 4.896 5.411 4.140
```


The following is a GGA-PBE calculation of a relaxed structure of UPtSe, from Alexandria.

DOS(E_F)	13.1	states/eV/cell
total DFT energy (no corrections)	-45.09	eV per cell
magnetization	2.2	μB/f.u.
formation energy (no corrections)	-0.58	eV per atom

The structure in extended XYZ format:
```
6
Lattice="3.118 -2.760 0.000 3.118 2.760 0.000 -1.821 0.000 7.553" Properties=species:S:1:pos:R:3 pbc="T T T"
U -0.004 0.000 2.032
U 4.418 0.000 5.521
Pt 1.047 0.000 4.578
Pt 3.368 0.000 2.975
Se 1.559 1.380 0.000
Se 1.559 -1.380 0.000
```


The following is a GGA-PBE calculation of a relaxed structure of VPt3Se, from Alexandria.

excess energy over the best structure of this formula in the dataset	0.207	eV per atom
DOS(E_F)	4.5	states/eV/cell
total DFT energy (no corrections)	-26.23	eV per cell
magnetization	0.0	μB/f.u.
formation energy (no corrections)	0.90	eV per atom

The structure in extended XYZ format:
```
5
Lattice="4.657 0.000 0.000 0.000 4.657 0.000 0.000 0.000 4.657" Properties=species:S:1:pos:R:3 pbc="T T T"
V 0.000 0.000 0.000
Pt 0.000 0.000 2.328
Pt 0.000 2.328 0.000
Pt 2.328 0.000 0.000
Se 2.328 2.328 2.328
```


The following is a GGA-PBE calculation of a relaxed structure of VPtSe2, from Alexandria.

excess energy over the best structure of this formula in the dataset	0.000	eV per atom
DOS(E_F)	1.0	states/eV/cell
total DFT energy (no corrections)	-23.63	eV per cell
magnetization	0.0	μB/f.u.
formation energy (no corrections)	-0.38	eV per atom

The structure in extended XYZ format:
```
4
Lattice="1.609 0.929 8.052 -1.609 0.929 8.052 0.000 -1.858 8.052" Properties=species:S:1:pos:R:3 pbc="T T T"
V 0.000 0.000 0.000
Pt 0.000 0.000 12.078
Se 0.000 0.000 9.655
Se 0.000 0.000 14.500
```